DFT (PBE-GGA) results for a geometry-optimized Li2Al6Re structure.

Values from the calculation:
For the energy of formation from the pure elements, the calculation gives 27 kJ/mol of formula units. The total DFT energy (no corrections) comes out at -0.3140 Ry per atom. For the density, the calculation gives 3.69 Mg/m³.

Lattice parameters (Å, degrees): 6.201 5.508 5.508 60.04 90.33 90.33
Fractional coordinates of all 9 atoms:
Li (0.921, 0.666, 0.666)
Li (0.079, 0.334, 0.334)
Al (0.312, 0.339, 0.831)
Al (0.310, 0.831, 0.831)
Al (0.312, 0.831, 0.339)
Al (0.688, 0.661, 0.169)
Al (0.690, 0.169, 0.169)
Al (0.688, 0.169, 0.661)
Re (0.000, 0.000, 0.000)

DFT (PBE-GGA) results for a geometry-optimized LiAl2Re2 structure.

Values from the calculation:
For the energy of formation from the pure elements, the calculation gives 63 kJ/mol of formula units. The total DFT energy (no corrections) comes out at -0.4945 Ry per atom. For the density, the calculation gives 9.94 Mg/m³.

Lattice parameters (Å, degrees): 6.523 6.523 3.404 90.00 90.00 90.00
Fractional coordinates of all 10 atoms:
Re (0.165, 0.665, 0.500)
Re (0.665, 0.835, 0.500)
Re (0.835, 0.335, 0.500)
Re (0.335, 0.165, 0.500)
Al (0.364, 0.864, 0.000)
Al (0.864, 0.636, 0.000)
Al (0.636, 0.136, 0.000)
Al (0.136, 0.364, 0.000)
Li (0.000, 0.000, 0.000)
Li (0.500, 0.500, 0.000)

DFT (PBE-GGA) results for a geometry-optimized LiAlRe structure.

Values from the calculation:
For the energy of formation from the pure elements, the calculation gives 23 kJ/mol of formula units. The total DFT energy (no corrections) comes out at -0.4377 Ry per atom. The polymorph energy (0 for the lowest one) is 0.045 eV/atom. For the density, the calculation gives 8.11 Mg/m³.

Lattice parameters (Å, degrees): 2.756 2.756 6.851 90.00 90.00 120.00
Fractional coordinates of all 3 atoms:
Al (0.000, 0.000, 0.992)
Li (0.333, 0.667, 0.335)
Re (0.667, 0.333, 0.673)